(1)
This record from Alexandria via LeMat-Bulk describes an optimized crystal structure of YMgZn2Pt. The functional is PBE.

extended XYZ file:
```
5
Lattice="5.447 0.000 0.000 0.000 5.447 0.000 0.000 0.000 5.140" Properties=species:S:1:pos:R:3 pbc="T T T"
Y 0.000 0.000 0.000
Mg 2.724 2.724 2.570
Zn 0.000 2.724 0.000
Zn 2.724 0.000 0.000
Pt 0.000 0.000 2.570
```

Properties
Crystal system ... tetragonal
Size of the total moment ... 0.00 μB/cell
Formation energy from the elements ... 0.5904 eV per atom

(2)
This record from Alexandria via LeMat-Bulk describes an optimized crystal structure of NaYTe2. The functional is PBE.

extended XYZ file:
```
4
Lattice="4.475 0.000 0.000 0.000 4.475 0.000 0.000 0.000 6.129" Properties=species:S:1:pos:R:3 pbc="T T T"
Na 0.000 0.000 0.000
Y 2.237 2.237 3.065
Te 0.000 0.000 3.065
Te 2.237 2.237 0.000
```

Properties
Crystal system ... tetragonal
Size of the total moment ... 0.00 μB/cell
E_form (uncorrected) ... -1.202 eV/atom

(3)
This record from Alexandria via LeMat-Bulk describes an optimized crystal structure of ScTiSn. The functional is PBE.

extended XYZ file:
```
6
Lattice="3.543 0.000 0.000 0.000 3.543 0.000 0.000 0.000 9.836" Properties=species:S:1:pos:R:3 pbc="T T T"
Sc 0.000 0.000 0.000
Sc 1.771 1.771 4.918
Ti 0.000 0.000 3.305
Ti 1.771 1.771 8.223
Sn 0.000 0.000 6.675
Sn 1.771 1.771 1.757
```

Properties
Crystal system ... tetragonal
Size of the total moment ... 0.63 μB/cell
Formation energy from the elements ... -0.3072 eV per atom

(4)
This record from Alexandria via LeMat-Bulk describes an optimized crystal structure of TeBr. The functional is PBE.

extended XYZ file:
```
8
Lattice="3.880 0.000 0.000 0.000 5.897 0.000 0.000 0.000 10.870" Properties=species:S:1:pos:R:3 pbc="T T T"
Te 0.000 1.474 1.695
Te 0.000 4.423 9.175
Te 1.940 1.474 3.740
Te 1.940 4.423 7.130
Br 0.000 1.474 6.366
Br 0.000 4.423 4.504
Br 1.940 1.474 9.939
Br 1.940 4.423 0.931
```

Properties
Crystal system ... orthorhombic
Size of the total moment ... 0.00 μB/cell
E_form (uncorrected) ... 0.054 eV/atom

(5)
This record from Alexandria via LeMat-Bulk describes an optimized crystal structure of LiHfMgPt. The functional is PBE.

extended XYZ file:
```
16
Lattice="6.468 0.000 0.000 0.000 6.468 0.000 0.000 0.000 6.468" Properties=species:S:1:pos:R:3 pbc="T T T"
Li 0.000 0.000 0.000
Li 0.000 3.234 3.234
Li 3.234 0.000 3.234
Li 3.234 3.234 0.000
Hf 1.617 1.617 4.851
Hf 1.617 4.851 1.617
Hf 4.851 1.617 1.617
Hf 4.851 4.851 4.851
Mg 1.617 1.617 1.617
Mg 1.617 4.851 4.851
Mg 4.851 1.617 4.851
Mg 4.851 4.851 1.617
Pt 0.000 0.000 3.234
Pt 0.000 3.234 0.000
Pt 3.234 0.000 0.000
Pt 3.234 3.234 3.234
```

Properties
Crystal system ... cubic
Size of the total moment ... 0.02 μB/cell
Formation energy from the elements ... -0.6032 eV per atom

(6)
This record from Alexandria via LeMat-Bulk describes an optimized crystal structure of LaSm4Dy7. The functional is PBE.

extended XYZ file:
```
12
Lattice="6.085 -2.970 0.000 6.085 2.970 0.000 -5.962 0.000 11.260" Properties=species:S:1:pos:R:3 pbc="T T T"
La 0.000 0.000 0.000
Sm -1.075 0.000 7.654
Sm 3.144 0.000 2.524
Sm 3.063 0.000 8.736
Sm 7.282 0.000 3.606
Dy -1.232 0.000 3.717
Dy -2.939 0.000 10.387
Dy 1.492 0.000 5.610
Dy 6.085 0.000 0.000
Dy 4.716 0.000 5.651
Dy 9.147 0.000 0.873
Dy 7.440 0.000 7.544
```

Properties
Crystal system ... monoclinic
Size of the total moment ... 0.00 μB/cell
Offset from the most stable computed form ... 0.247 eV per atom
Formation energy from the elements ... 0.2548 eV per atom

What is the formula in the third record? ScTiSn

Copy entry 5 word for word.
This record from Alexandria via LeMat-Bulk describes an optimized crystal structure of LiHfMgPt. The functional is PBE.

extended XYZ file:
```
16
Lattice="6.468 0.000 0.000 0.000 6.468 0.000 0.000 0.000 6.468" Properties=species:S:1:pos:R:3 pbc="T T T"
Li 0.000 0.000 0.000
Li 0.000 3.234 3.234
Li 3.234 0.000 3.234
Li 3.234 3.234 0.000
Hf 1.617 1.617 4.851
Hf 1.617 4.851 1.617
Hf 4.851 1.617 1.617
Hf 4.851 4.851 4.851
Mg 1.617 1.617 1.617
Mg 1.617 4.851 4.851
Mg 4.851 1.617 4.851
Mg 4.851 4.851 1.617
Pt 0.000 0.000 3.234
Pt 0.000 3.234 0.000
Pt 3.234 0.000 0.000
Pt 3.234 3.234 3.234
```

Properties
Crystal system ... cubic
Size of the total moment ... 0.02 μB/cell
Formation energy from the elements ... -0.6032 eV per atom

Repeat the second record exactly.
This record from Alexandria via LeMat-Bulk describes an optimized crystal structure of NaYTe2. The functional is PBE.

extended XYZ file:
```
4
Lattice="4.475 0.000 0.000 0.000 4.475 0.000 0.000 0.000 6.129" Properties=species:S:1:pos:R:3 pbc="T T T"
Na 0.000 0.000 0.000
Y 2.237 2.237 3.065
Te 0.000 0.000 3.065
Te 2.237 2.237 0.000
```

Properties
Crystal system ... tetragonal
Size of the total moment ... 0.00 μB/cell
E_form (uncorrected) ... -1.202 eV/atom

size of the total moment of number 4 (TeBr)? 0.00 μB/cell